GdGaNO | OQMD | GGA-PBE | relaxed; magnetization = 0.0584 μB/atom; energy above the lowest structure with this stoichiometry = 53 meV per atom; SG = Pca2_1, No. 29; uncorrected energy = -0.489 Ry/atom; volume = 57.2 Å³/f.u.
1.0
5.882 0.000 0.000
0.000 7.584 0.000
0.000 0.000 5.127
Gd Ga N O
4 4 4 4
direct
0.053 0.133 0.000
0.447 0.133 0.500
0.553 0.867 0.000
0.947 0.867 0.500
0.090 0.594 0.948
0.410 0.594 0.448
0.590 0.406 0.948
0.910 0.406 0.448
0.104 0.590 0.574
0.396 0.590 0.074
0.604 0.410 0.574
0.896 0.410 0.074
0.064 0.172 0.513
0.436 0.172 0.013
0.564 0.828 0.513
0.936 0.828 0.013